# Cd2HgPt2 meta-GGA SCAN PBEsol geometry
data_Cd2HgPt2
_chemical_formula_sum 'Cd4 Hg2 Pt4'
_cell_length_a 7.134
_cell_length_b 7.134
_cell_length_c 3.663
_cell_angle_alpha 90.00
_cell_angle_beta 90.00
_cell_angle_gamma 90.00
_space_group_name_H-M_alt 'P 4/m b m'
_space_group_IT_number 127
_space_group_name_Hall '-P 4 2ab'
loop_
_atom_site_label
_atom_site_type_symbol
_atom_site_fract_x
_atom_site_fract_y
_atom_site_fract_z
Cd1 Cd 0.161 0.339 0.000
Hg1 Hg 0.000 0.000 0.500
Pt1 Pt 0.136 0.636 0.500
# * calculated total energy: -541.0 eV for the cell shown
# * Fermi-level density of states: 0.38 states/eV/atom
# * formation enthalpy at 0 K: -219 meV/atom